# 1
RbSnHg2Te4 PBE optimized geometry; crystal system = orthorhombic; formation energy from raw total energies = -0.32 eV per atom; space-group type = I222 (23)
1.0
7.4985 0.0000 0.0000
3.7492 6.5855 -0.5063
3.7492 0.2261 6.6011
Te Hg Sn Rb
4 2 1 1
Cartesian
5.4121 0.9807 3.1793
5.4121 5.8309 2.9155
9.5848 3.5433 5.4722
9.5848 3.2684 0.6226
7.4985 2.2929 4.2912
7.4985 4.5187 1.8036
3.7492 3.4058 3.0474
0.0000 0.0000 0.0000

---

# 2
RbSn2HgTe4 PBE optimized geometry; crystal system = orthorhombic; formation energy from raw total energies = -0.34 eV per atom; space-group type = Cmcm (63)
1.0
4.5993 0.0000 0.0000
-2.2997 7.7010 0.0000
0.0000 0.0000 16.4790
Te Sn Rb Hg
8 4 2 2
Cartesian
0.0000 0.0000 0.0000
0.0000 3.9493 1.6179
0.0000 3.9493 6.6216
0.0000 6.7979 12.3593
2.2997 3.7517 14.8611
0.0000 0.0000 8.2395
2.2997 0.9032 4.1198
2.2997 3.7517 9.8575
2.2997 1.8918 7.2062
2.2997 1.8918 1.0334
0.0000 5.8092 15.4457
0.0000 5.8092 9.2729
0.0000 1.9278 12.3593
2.2997 5.7733 4.1198
2.2997 5.0954 12.3593
0.0000 2.6056 4.1198

---

# 3
RbSnHg2Te PBE optimized geometry; crystal system = tetragonal; formation energy from raw total energies = -0.26 eV per atom; space-group type = P4/mmm (123)
1.0
5.7024 0.0000 0.0000
0.0000 5.7024 0.0000
0.0000 0.0000 6.1420
Hg Te Rb Sn
2 1 1 1
Cartesian
0.0000 2.8512 0.0000
2.8512 0.0000 0.0000
0.0000 0.0000 3.0710
2.8512 2.8512 3.0710
0.0000 0.0000 0.0000

---

# 4
Rb2SnHgTe4 PBE optimized geometry; crystal system = orthorhombic; formation energy from raw total energies = -0.51 eV per atom; space-group type = Fddd (70)
1.0
-3.1608 2.6882 5.8121
-8.4410 -0.3660 -0.0340
-1.0904 -10.4917 8.6467
Te Rb Hg Sn
8 4 2 2
Cartesian
-10.4636 -7.1491 12.8565
-7.7624 -0.6617 2.7801
-3.4320 -8.7816 8.8906
-3.4099 -3.6661 4.3430
-3.7263 0.2534 4.3224
-9.3648 -4.4331 10.2337
-4.7947 -5.1228 8.4215
-7.8148 -3.1169 5.8513
-7.3180 0.9777 6.5360
-2.9790 -1.7022 7.9416
-6.9545 -7.8031 10.7949
-1.2722 -6.1013 6.5173
-7.1363 -3.4127 8.6654
0.0000 0.0000 0.0000
-5.5559 -4.7568 5.7594
-1.5804 1.3441 2.9061

---

# 5
Rb2SnHgTe4 PBE optimized geometry; crystal system = tetragonal; formation energy from raw total energies = -0.57 eV per atom; space-group type = I-42m (121)
1.0
-5.3491 -4.8796 -1.5748
5.8950 0.3550 -4.4751
2.6831 -2.1217 6.5726
Sn Hg Te Rb
1 1 4 2
Cartesian
2.6830 -2.1216 6.5724
0.2733 -2.2626 -3.0243
5.0052 -4.6853 1.4666
1.1936 -6.4598 2.4498
1.8101 -1.7081 3.9345
1.1320 -2.5605 -0.2329
-1.3326 -3.5007 2.4987
4.2888 -0.8836 1.0487

---

# 6
RbSnHgTe2 PBE optimized geometry; excess energy over the best structure of this formula in the dataset = 0.000 eV/atom; crystal system = monoclinic; formation energy from raw total energies = -0.39 eV per atom; space-group type = P2_1/m (11)
1.0
4.2552 0.0000 0.0000
0.0000 9.7419 0.8303
0.0000 -3.2314 9.8147
Te Sn Rb Hg
4 2 2 2
Cartesian
1.0638 0.3264 3.7001
1.0638 -1.3182 9.4623
3.1914 7.8287 1.1827
3.1914 6.1840 6.9448
1.0638 5.8085 8.9688
3.1914 0.7019 1.6762
1.0638 6.3914 3.9246
3.1914 0.1191 6.7204
1.0638 2.4675 9.0277
3.1914 4.0430 1.6172

---

# 7
RbSnHgTe2 PBE optimized geometry; excess energy over the best structure of this formula in the dataset = 0.335 eV/atom; crystal system = tetragonal; formation energy from raw total energies = -0.06 eV per atom; space-group type = P4/mmm (123)
1.0
-1.2313 -4.4871 -3.4981
1.1952 -4.4325 5.2650
-5.6017 0.3295 1.5490
Te Hg Sn Rb
2 1 1 1
Cartesian
-2.8008 0.1648 0.7745
-0.6156 -2.2436 -1.7490
-2.8189 -4.2950 1.6580
0.0000 0.0000 0.0000
0.5976 -2.2162 2.6325

---

# 8
Rb2Tl6SnHg PBE optimized geometry; crystal system = trigonal; calculated formation energy = -0.010 eV per atom; space-group type = R-3m (166)
1.0
8.2957 0.0000 0.0000
4.1479 7.1843 0.0000
4.1479 2.3948 13.6305
Hg Tl Rb Sn
2 12 4 2
Cartesian
8.2957 4.7895 6.8153
0.0000 0.0000 0.0000
10.1763 3.7037 4.5811
8.2957 2.6179 9.0495
5.7393 6.2654 2.6319
10.8521 6.2654 2.6319
10.1763 5.8753 9.0495
10.8521 3.3136 10.9987
8.2957 6.9611 4.5811
8.2957 7.7414 10.9987
8.2957 1.8377 2.6319
5.7393 3.3136 10.9987
6.4151 3.7037 4.5811
6.4151 5.8753 9.0495
12.4436 7.1843 6.1473
4.1479 2.3948 7.4832
4.1479 2.3948 1.5927
12.4436 7.1843 12.0379
8.2957 4.7895 2.0643
8.2957 4.7895 11.5662

---

# 9
RbTlSnHg PBE optimized geometry; crystal system = cubic; calculated formation energy = -0.060 eV per atom; space-group type = F-43m (216)
1.0
-5.2994 -1.7575 0.8033
-1.0068 -4.5904 3.1197
-2.4021 0.5121 5.0779
Sn Tl Hg Rb
1 1 1 1
Cartesian
-2.1771 -1.4589 2.2502
-4.3541 -2.9179 4.5004
0.0000 0.0000 0.0000
-6.5312 -4.3768 6.7506

---

# 10
RbTlSnHg2 PBE optimized geometry; crystal system = tetragonal; calculated formation energy = 0.008 eV per atom; space-group type = P4/mmm (123)
1.0
5.9771 0.0000 0.0000
0.0000 5.9771 0.0000
0.0000 0.0000 5.8686
Tl Hg Sn Rb
1 2 1 1
Cartesian
0.0000 0.0000 2.9343
2.9885 0.0000 0.0000
0.0000 2.9885 0.0000
0.0000 0.0000 0.0000
2.9885 2.9885 2.9343

---

# 11
Rb2TlSnHg6 PBE optimized geometry; crystal system = triclinic; calculated formation energy = -0.108 eV per atom; space-group type = P-1 (2)
1.0
-6.4752 -4.9316 -6.3645
3.1236 -5.4368 1.3341
-5.0878 -6.1558 1.5928
Hg Sn Rb Tl
6 1 2 1
Cartesian
-4.1421 -5.1263 -4.4277
-4.1411 -9.9007 -2.0413
-4.2973 -11.3978 0.9902
-7.5265 -13.8883 -2.4012
-0.9129 -2.6358 -1.0364
-4.2983 -6.6234 -1.3963
0.0000 0.0000 0.0000
-6.8875 -8.2632 -3.8255
-1.5519 -8.2609 0.3879
-1.6758 -5.1842 -2.5152

---

# 12
Rb2VSnHg PBE optimized geometry; crystal system = tetragonal; calculated formation energy = 0.468 eV per atom; space-group type = P4/mmm (123)
1.0
-0.9368 6.8259 1.8897
-4.9879 -1.0727 1.4020
2.1918 -1.5332 6.6248
Rb Sn Hg V
2 1 1 1
Cartesian
-0.4684 3.4130 0.9448
1.0959 -0.7666 3.3124
0.0000 0.0000 0.0000
-1.8665 2.1100 4.9582
-2.4939 -0.5363 0.7010